No. 1
Compound: CeThMgTl
Source: Alexandria
Functional: PBE
Structure: optimized geometry

## Properties
ΔH_f (0 K) ... -9 meV/atom

Cell: 7.7425 7.7425 7.7425 Å, 90.00 90.00 90.00°
Closest atoms and distances in Å follow each position.
Sites, in units of the cell vectors:
Ce 0.0000 0.0000 0.0000  4 Tl 3.35, 4 Mg 3.35
Ce 0.0000 0.5000 0.5000  4 Mg 3.35, 4 Tl 3.35
Ce 0.5000 0.0000 0.5000  4 Mg 3.35, 4 Tl 3.35
Ce 0.5000 0.5000 0.0000  4 Mg 3.35, 4 Tl 3.35
Th 0.0000 0.0000 0.5000  4 Tl 3.35, 4 Mg 3.35
Th 0.0000 0.5000 0.0000  4 Tl 3.35, 4 Mg 3.35
Th 0.5000 0.0000 0.0000  4 Tl 3.35, 4 Mg 3.35
Th 0.5000 0.5000 0.5000  4 Tl 3.35, 4 Mg 3.35
Mg 0.2500 0.2500 0.2500  4 Th 3.35, 4 Ce 3.35
Mg 0.2500 0.7500 0.7500  4 Th 3.35, 4 Ce 3.35
Mg 0.7500 0.2500 0.7500  4 Th 3.35, 4 Ce 3.35
Mg 0.7500 0.7500 0.2500  4 Th 3.35, 4 Ce 3.35
Tl 0.2500 0.2500 0.7500  4 Th 3.35, 4 Ce 3.35
Tl 0.2500 0.7500 0.2500  4 Th 3.35, 4 Ce 3.35
Tl 0.7500 0.2500 0.2500  4 Th 3.35, 4 Ce 3.35
Tl 0.7500 0.7500 0.7500  4 Th 3.35, 4 Ce 3.35

=====

No. 2
Compound: CeTmThMg
Source: Alexandria
Functional: PBE
Structure: optimized geometry

## Properties
ΔH_f (0 K) ... 182 meV/atom

Cell: 7.7522 7.7522 7.7522 Å, 90.00 90.00 90.00°
Closest atoms and distances in Å follow each position.
Sites, in units of the cell vectors:
Ce 0.0000 0.0000 0.0000  4 Mg 3.36, 4 Th 3.36
Ce 0.0000 0.5000 0.5000  4 Mg 3.36, 4 Th 3.36
Ce 0.5000 0.0000 0.5000  4 Mg 3.36, 4 Th 3.36
Ce 0.5000 0.5000 0.0000  4 Mg 3.36, 4 Th 3.36
Tm 0.0000 0.0000 0.5000  4 Th 3.36, 4 Mg 3.36
Tm 0.0000 0.5000 0.0000  4 Th 3.36, 4 Mg 3.36
Tm 0.5000 0.0000 0.0000  4 Th 3.36, 4 Mg 3.36
Tm 0.5000 0.5000 0.5000  4 Th 3.36, 4 Mg 3.36
Th 0.2500 0.2500 0.2500  4 Ce 3.36, 4 Tm 3.36
Th 0.2500 0.7500 0.7500  4 Ce 3.36, 4 Tm 3.36
Th 0.7500 0.2500 0.7500  4 Ce 3.36, 4 Tm 3.36
Th 0.7500 0.7500 0.2500  4 Ce 3.36, 4 Tm 3.36
Mg 0.2500 0.2500 0.7500  4 Tm 3.36, 4 Ce 3.36
Mg 0.2500 0.7500 0.2500  4 Tm 3.36, 4 Ce 3.36
Mg 0.7500 0.2500 0.2500  4 Tm 3.36, 4 Ce 3.36
Mg 0.7500 0.7500 0.7500  4 Tm 3.36, 4 Ce 3.36

=====

No. 3
Compound: CeThMgZn
Source: Alexandria
Functional: PBE
Structure: optimized geometry

## Properties
ΔH_f (0 K) ... 4 meV/atom

Cell: 7.4587 7.4587 7.4587 Å, 90.00 90.00 90.00°
Closest atoms and distances in Å follow each position.
Sites, in units of the cell vectors:
Ce 0.0000 0.0000 0.0000  4 Mg 3.23, 4 Zn 3.23
Ce 0.0000 0.5000 0.5000  4 Mg 3.23, 4 Zn 3.23
Ce 0.5000 0.0000 0.5000  4 Mg 3.23, 4 Zn 3.23
Ce 0.5000 0.5000 0.0000  4 Mg 3.23, 4 Zn 3.23
Th 0.0000 0.0000 0.5000  4 Zn 3.23, 4 Mg 3.23
Th 0.0000 0.5000 0.0000  4 Zn 3.23, 4 Mg 3.23
Th 0.5000 0.0000 0.0000  4 Zn 3.23, 4 Mg 3.23
Th 0.5000 0.5000 0.5000  4 Zn 3.23, 4 Mg 3.23
Mg 0.2500 0.2500 0.2500  4 Th 3.23, 4 Ce 3.23
Mg 0.2500 0.7500 0.7500  4 Th 3.23, 4 Ce 3.23
Mg 0.7500 0.2500 0.7500  4 Th 3.23, 4 Ce 3.23
Mg 0.7500 0.7500 0.2500  4 Th 3.23, 4 Ce 3.23
Zn 0.2500 0.2500 0.7500  4 Th 3.23, 4 Ce 3.23
Zn 0.2500 0.7500 0.2500  4 Th 3.23, 4 Ce 3.23
Zn 0.7500 0.2500 0.2500  4 Th 3.23, 4 Ce 3.23
Zn 0.7500 0.7500 0.7500  4 Ce 3.23, 4 Th 3.23

=====

No. 4
Compound: CeThMgZr
Source: Alexandria
Functional: PBE
Structure: optimized geometry

## Properties
ΔH_f (0 K) ... 163 meV/atom

Cell: 7.5837 7.5837 7.5837 Å, 90.00 90.00 90.00°
Closest atoms and distances in Å follow each position.
Sites, in units of the cell vectors:
Ce 0.0000 0.0000 0.0000  4 Zr 3.28, 4 Mg 3.28
Ce 0.0000 0.5000 0.5000  4 Zr 3.28, 4 Mg 3.28
Ce 0.5000 0.0000 0.5000  4 Zr 3.28, 4 Mg 3.28
Ce 0.5000 0.5000 0.0000  4 Zr 3.28, 4 Mg 3.28
Th 0.0000 0.0000 0.5000  4 Mg 3.28, 4 Zr 3.28
Th 0.0000 0.5000 0.0000  4 Mg 3.28, 4 Zr 3.28
Th 0.5000 0.0000 0.0000  4 Mg 3.28, 4 Zr 3.28
Th 0.5000 0.5000 0.5000  4 Zr 3.28, 4 Mg 3.28
Mg 0.2500 0.2500 0.7500  4 Th 3.28, 4 Ce 3.28
Mg 0.2500 0.7500 0.2500  4 Th 3.28, 4 Ce 3.28
Mg 0.7500 0.2500 0.2500  4 Th 3.28, 4 Ce 3.28
Mg 0.7500 0.7500 0.7500  4 Th 3.28, 4 Ce 3.28
Zr 0.2500 0.2500 0.2500  4 Th 3.28, 4 Ce 3.28
Zr 0.2500 0.7500 0.7500  4 Th 3.28, 4 Ce 3.28
Zr 0.7500 0.2500 0.7500  4 Th 3.28, 4 Ce 3.28
Zr 0.7500 0.7500 0.2500  4 Th 3.28, 4 Ce 3.28

=====

No. 5
Compound: Ce2MgTi
Source: Alexandria
Functional: PBE
Structure: optimized geometry

## Properties
ΔH_f (0 K) ... 235 meV/atom
Relative energy among the computed polymorphs ... 0.135 eV/atom

Cell: 3.0546 3.0546 35.4924 Å, 90.00 90.00 120.00°
Closest atoms and distances in Å follow each position.
Sites, in units of the cell vectors:
Ce 0.0000 0.0000 0.0923  6 Ce 3.05, 3 Ti 3.18, 1 Mg 3.27
Ce 0.0000 0.0000 0.9077  6 Ce 3.05, 3 Ti 3.18, 1 Mg 3.27
Ce 0.3333 0.6667 0.5744  6 Ce 3.05, 3 Ti 3.18, 1 Mg 3.27
Ce 0.3333 0.6667 0.7589  6 Ce 3.05, 3 Ti 3.18, 1 Mg 3.27
Ce 0.6667 0.3333 0.2411  6 Ce 3.05, 3 Ti 3.18, 1 Mg 3.27
Ce 0.6667 0.3333 0.4256  6 Ce 3.05, 3 Ti 3.18, 1 Mg 3.27
Mg 0.0000 0.0000 0.0000  6 Mg 3.05, 2 Ce 3.27
Mg 0.3333 0.6667 0.6667  6 Mg 3.05, 2 Ce 3.27
Mg 0.6667 0.3333 0.3333  6 Mg 3.05, 2 Ce 3.27
Ti 0.0000 0.0000 0.5000  6 Ti 3.05, 6 Ce 3.18
Ti 0.3333 0.6667 0.1667  6 Ti 3.05, 6 Ce 3.18
Ti 0.6667 0.3333 0.8333  6 Ti 3.05, 6 Ce 3.18

=====

No. 6
Compound: CeMg6Ti
Source: Alexandria
Functional: PBE
Structure: optimized geometry

## Properties
ΔH_f (0 K) ... 145 meV/atom
Relative energy among the computed polymorphs ... 0.006 eV/atom

Cell: 5.2095 6.0466 11.8980 Å, 90.00 90.00 90.00°
Closest atoms and distances in Å follow each position.
Sites, in units of the cell vectors:
Ce 0.0000 0.0000 0.0000  2 Ti 3.03, 10 Mg 3.23-3.37
Ce 0.0000 0.5000 0.5000  2 Ti 3.03, 10 Mg 3.23-3.37
Mg 0.0000 0.2478 0.7464  8 Mg 3.00-3.31, 1 Ti 3.23, 1 Ce 3.30
Mg 0.0000 0.2522 0.2464  8 Mg 3.00-3.31, 1 Ti 3.23, 1 Ce 3.30
Mg 0.0000 0.7478 0.2464  8 Mg 3.00-3.31, 1 Ti 3.23, 1 Ce 3.30
Mg 0.0000 0.7522 0.7464  8 Mg 3.00-3.31, 1 Ti 3.23, 1 Ce 3.30
Mg 0.5000 0.0000 0.1600  8 Mg 3.04-3.19, 2 Ce 3.23
Mg 0.5000 0.0000 0.6299  8 Mg 3.04-3.31, 2 Ti 3.12
Mg 0.5000 0.2447 0.3977  6 Mg 2.96-3.19, 2 Ti 3.17, 2 Ce 3.26
Mg 0.5000 0.2553 0.8977  6 Mg 2.96-3.19, 2 Ti 3.17, 2 Ce 3.26
Mg 0.5000 0.5000 0.1299  8 Mg 3.04-3.31, 2 Ti 3.12
Mg 0.5000 0.5000 0.6600  8 Mg 3.04-3.19, 2 Ce 3.23
Mg 0.5000 0.7447 0.8977  6 Mg 2.96-3.19, 2 Ti 3.17, 2 Ce 3.26
Mg 0.5000 0.7553 0.3977  6 Mg 2.96-3.19, 2 Ti 3.17, 2 Ce 3.26
Ti 0.0000 0.0000 0.4856  2 Ce 3.03, 8 Mg 3.12-3.23
Ti 0.0000 0.5000 0.9856  2 Ce 3.03, 8 Mg 3.12-3.23